# ScTlRe2, optimized geometry, DFT GGA-PBE
data_ScTlRe2
_chemical_formula_sum 'Sc4 Tl4 Re8'
_cell_length_a 6.5747
_cell_length_b 6.5747
_cell_length_c 6.5747
_cell_angle_alpha 90.00
_cell_angle_beta 90.00
_cell_angle_gamma 90.00
_space_group_name_H-M_alt 'F m -3 m'
_space_group_IT_number 225
_space_group_name_Hall '-F 4 2 3'
loop_
_atom_site_label
_atom_site_type_symbol
_atom_site_fract_x
_atom_site_fract_y
_atom_site_fract_z
Sc1 Sc 0.0000 0.0000 0.0000
Tl1 Tl 0.0000 0.0000 0.5000
Re1 Re 0.2500 0.2500 0.2500
# ρ = 14531 kg/m3
# electronic total energy = -7.598 eV per atom
# magnetic moment = 0.000 μB/f.u.
# relative energy among the computed polymorphs = 0.7362 eV per atom
# formation enthalpy at 0 K = 3.2 eV/f.u.


# ScTl2Re, optimized geometry, DFT GGA-PBE
data_ScTl2Re
_chemical_formula_sum 'Sc1 Tl2 Re1'
_cell_length_a 3.2418
_cell_length_b 3.2418
_cell_length_c 8.7095
_cell_angle_alpha 90.00
_cell_angle_beta 90.00
_cell_angle_gamma 90.00
_space_group_name_H-M_alt 'P 4 m m'
_space_group_IT_number 99
loop_
_space_group_symop_operation_xyz
'x,y,z'
'-y,x,z'
'-x,-y,z'
'y,-x,z'
'-x,y,z'
'y,x,z'
'x,-y,z'
'-y,-x,z'
loop_
_atom_site_label
_atom_site_type_symbol
_atom_site_fract_x
_atom_site_fract_y
_atom_site_fract_z
Sc1 Sc 0.0000 0.0000 0.0000
Tl1 Tl 0.0000 0.0000 0.6026
Tl2 Tl 0.5000 0.5000 0.2919
Re1 Re 0.5000 0.5000 0.8233
# ρ = 11609 kg/m3
# electronic total energy = -5.499 eV per atom
# magnetic moment = 0.000 μB/f.u.
# relative energy among the computed polymorphs = 0.0000 eV per atom
# formation enthalpy at 0 K = 1.5 eV/f.u.


# ScTlRe2, optimized geometry, DFT GGA-PBE
data_ScTlRe2
_chemical_formula_sum 'Sc2 Tl2 Re4'
_cell_length_a 9.8776
_cell_length_b 3.2353
_cell_length_c 5.1044
_cell_angle_alpha 90.00
_cell_angle_beta 100.54
_cell_angle_gamma 90.00
_space_group_name_H-M_alt 'C 1 2/m 1'
_space_group_IT_number 12
loop_
_space_group_symop_operation_xyz
'x,y,z'
'-x,-y,-z'
'-x,y,-z'
'x,-y,z'
'x+1/2,y+1/2,z'
'-x+1/2,-y+1/2,-z'
'-x+1/2,y+1/2,-z'
'x+1/2,-y+1/2,z'
loop_
_atom_site_label
_atom_site_type_symbol
_atom_site_fract_x
_atom_site_fract_y
_atom_site_fract_z
Sc1 Sc 0.0000 0.0000 0.0000
Tl1 Tl 0.0000 0.5000 0.5000
Re1 Re 0.2452 0.0000 0.8241
# ρ = 12876 kg/m3
# electronic total energy = -7.946 eV per atom
# magnetic moment = 0.000 μB/f.u.
# relative energy among the computed polymorphs = 0.3881 eV per atom
# formation enthalpy at 0 K = 1.8 eV/f.u.


# ScTlRe, optimized geometry, DFT GGA-PBE
data_ScTlRe
_chemical_formula_sum 'Sc2 Tl2 Re2'
_cell_length_a 3.0251
_cell_length_b 3.0251
_cell_length_c 13.0504
_cell_angle_alpha 90.00
_cell_angle_beta 90.00
_cell_angle_gamma 90.00
_space_group_name_H-M_alt 'I 4 m m'
_space_group_IT_number 107
_space_group_name_Hall 'I 4 -2'
loop_
_atom_site_label
_atom_site_type_symbol
_atom_site_fract_x
_atom_site_fract_y
_atom_site_fract_z
Sc1 Sc 0.0000 0.0000 0.0000
Tl1 Tl 0.0000 0.0000 0.6923
Re1 Re 0.0000 0.0000 0.3565
# ρ = 12112 kg/m3
# electronic total energy = -6.663 eV per atom
# magnetic moment = 0.000 μB/f.u.
# relative energy among the computed polymorphs = 0.1026 eV per atom
# formation enthalpy at 0 K = 1.2 eV/f.u.


# ScTlRe2, optimized geometry, DFT GGA-PBE
data_ScTlRe2
_chemical_formula_sum 'Sc1 Tl1 Re2'
_cell_length_a 3.0094
_cell_length_b 4.1267
_cell_length_c 5.8953
_cell_angle_alpha 90.00
_cell_angle_beta 94.95
_cell_angle_gamma 90.00
_space_group_name_H-M_alt 'P 1 m 1'
_space_group_IT_number 6
loop_
_space_group_symop_operation_xyz
'x,y,z'
'x,-y,z'
loop_
_atom_site_label
_atom_site_type_symbol
_atom_site_fract_x
_atom_site_fract_y
_atom_site_fract_z
Sc1 Sc 0.0000 0.0000 0.0000
Tl1 Tl 0.5510 0.5000 0.2714
Re1 Re 0.1097 0.0000 0.5690
Re2 Re 0.5095 0.5000 0.7513
# ρ = 14155 kg/m3
# electronic total energy = -8.104 eV per atom
# magnetic moment = 0.000 μB/f.u.
# relative energy among the computed polymorphs = 0.2300 eV per atom
# formation enthalpy at 0 K = 1.2 eV/f.u.


# ScTl2Re, optimized geometry, DFT GGA-PBE
data_ScTl2Re
_chemical_formula_sum 'Sc2 Tl4 Re2'
_cell_length_a 4.2501
_cell_length_b 4.2501
_cell_length_c 9.0218
_cell_angle_alpha 90.00
_cell_angle_beta 90.00
_cell_angle_gamma 90.00
_space_group_name_H-M_alt 'I -4 m 2'
_space_group_IT_number 119
_space_group_name_Hall 'I -4 -2'
loop_
_atom_site_label
_atom_site_type_symbol
_atom_site_fract_x
_atom_site_fract_y
_atom_site_fract_z
Sc1 Sc 0.0000 0.0000 0.0000
Tl1 Tl 0.0000 0.0000 0.5000
Tl2 Tl 0.0000 0.5000 0.7500
Re1 Re 0.0000 0.5000 0.2500
# ρ = 13041 kg/m3
# electronic total energy = -5.375 eV per atom
# magnetic moment = 0.000 μB/f.u.
# relative energy among the computed polymorphs = 0.1236 eV per atom
# formation enthalpy at 0 K = 2.0 eV/f.u.


# ScTlRe2, optimized geometry, DFT GGA-PBE
data_ScTlRe2
_chemical_formula_sum 'Sc1 Tl1 Re2'
_cell_length_a 3.5365
_cell_length_b 3.5365
_cell_length_c 6.0238
_cell_angle_alpha 90.00
_cell_angle_beta 90.00
_cell_angle_gamma 90.00
_space_group_name_H-M_alt 'P 4/m m m'
_space_group_IT_number 123
_space_group_name_Hall '-P 4 2'
loop_
_atom_site_label
_atom_site_type_symbol
_atom_site_fract_x
_atom_site_fract_y
_atom_site_fract_z
Sc1 Sc 0.0000 0.0000 0.0000
Tl1 Tl 0.0000 0.0000 0.5000
Re1 Re 0.5000 0.5000 0.2015
# ρ = 13704 kg/m3
# electronic total energy = -7.826 eV per atom
# magnetic moment = 0.000 μB/f.u.
# relative energy among the computed polymorphs = 0.5082 eV per atom
# formation enthalpy at 0 K = 2.3 eV/f.u.


# ScTlRe, optimized geometry, DFT GGA-PBE
data_ScTlRe
_chemical_formula_sum 'Sc2 Tl2 Re2'
_cell_length_a 3.4758
_cell_length_b 3.4758
_cell_length_c 9.5354
_cell_angle_alpha 90.00
_cell_angle_beta 90.00
_cell_angle_gamma 90.00
_space_group_name_H-M_alt 'I 4 m m'
_space_group_IT_number 107
_space_group_name_Hall 'I 4 -2'
loop_
_atom_site_label
_atom_site_type_symbol
_atom_site_fract_x
_atom_site_fract_y
_atom_site_fract_z
Sc1 Sc 0.0000 0.0000 0.0000
Tl1 Tl 0.0000 0.0000 0.6871
Re1 Re 0.0000 0.0000 0.3547
# ρ = 12556 kg/m3
# electronic total energy = -6.765 eV per atom
# magnetic moment = 0.000 μB/f.u.
# relative energy among the computed polymorphs = 0.0000 eV per atom
# formation enthalpy at 0 K = 0.8 eV/f.u.